# 1
Computed, not measured: a relaxed structure of Co2TcRu at the GGA-PBE level of DFT.

Computed properties:
Offset from the most stable computed form: 55 meV per atom
E_form: 0.120 eV/atom
Spin magnetization: 0.486 μB per atom

Lattice parameters (Å, degrees): 8.646 2.625 4.474 90.00 100.26 90.00
Positions (direct):
Co 0.000 0.000 0.000
Co 0.244 0.500 0.233
Co 0.500 0.500 0.000
Co 0.744 0.000 0.233
Tc 0.493 0.000 0.484
Tc 0.993 0.500 0.484
Ru 0.252 0.000 0.749
Ru 0.752 0.500 0.749

---

# 2
Computed, not measured: a relaxed structure of Co2TcRu at the GGA-PBE level of DFT.

Computed properties:
Offset from the most stable computed form: 108 meV per atom
E_form: 0.172 eV/atom
Spin magnetization: 0.471 μB per atom

Lattice parameters (Å, degrees): 8.568 2.635 4.548 90.00 100.26 90.00
Positions (direct):
Co 0.249 0.000 0.254
Co 0.251 0.500 0.746
Co 0.749 0.500 0.254
Co 0.751 0.000 0.746
Tc 0.000 0.000 0.500
Tc 0.500 0.500 0.500
Ru 0.000 0.500 0.000
Ru 0.500 0.000 0.000

---

# 3
Computed, not measured: a relaxed structure of Co4TcRu at the GGA-PBE level of DFT.

Computed properties:
E_form: 0.134 eV/atom
Spin magnetization: 1.098 μB per atom

Lattice parameters (Å, degrees): 4.672 4.672 4.672 60.00 60.00 60.00
Positions (direct):
Co 0.125 0.125 0.125
Co 0.125 0.125 0.625
Co 0.125 0.625 0.125
Co 0.625 0.125 0.125
Tc 0.500 0.500 0.500
Ru 0.750 0.750 0.750

---

# 4
Computed, not measured: a relaxed structure of Co2TcRu at the GGA-PBE level of DFT.

Computed properties:
Offset from the most stable computed form: 233 meV per atom
E_form: 0.298 eV/atom
Spin magnetization: 0.909 μB per atom

Lattice parameters (Å, degrees): 5.881 5.881 5.881 90.00 90.00 90.00
Positions (direct):
Co 0.250 0.250 0.250
Co 0.250 0.250 0.750
Co 0.250 0.750 0.250
Co 0.250 0.750 0.750
Co 0.750 0.250 0.250
Co 0.750 0.250 0.750
Co 0.750 0.750 0.250
Co 0.750 0.750 0.750
Tc 0.000 0.000 0.000
Tc 0.000 0.500 0.500
Tc 0.500 0.000 0.500
Tc 0.500 0.500 0.000
Ru 0.000 0.000 0.500
Ru 0.000 0.500 0.000
Ru 0.500 0.000 0.000
Ru 0.500 0.500 0.500

---

# 5
Computed, not measured: a relaxed structure of Co2TcRu at the GGA-PBE level of DFT.

Computed properties:
Offset from the most stable computed form: 131 meV per atom
E_form: 0.195 eV/atom
Spin magnetization: 0.835 μB per atom

Lattice parameters (Å, degrees): 2.929 2.929 5.921 90.00 90.00 90.00
Positions (direct):
Co 0.000 0.000 0.000
Co 0.500 0.500 0.177
Tc 0.500 0.500 0.729
Ru 0.000 0.000 0.449

---

# 6
Computed, not measured: a relaxed structure of Co2TcRu at the GGA-PBE level of DFT.

Computed properties:
Offset from the most stable computed form: 22 meV per atom
E_form: 0.086 eV/atom
Spin magnetization: 0.473 μB per atom

Lattice parameters (Å, degrees): 3.671 3.671 7.402 90.00 90.00 90.00
Positions (direct):
Co 0.000 0.000 0.000
Co 0.000 0.500 0.250
Co 0.500 0.000 0.750
Co 0.500 0.500 0.500
Tc 0.000 0.500 0.750
Tc 0.500 0.000 0.250
Ru 0.000 0.000 0.500
Ru 0.500 0.500 0.000

---

# 7
Computed, not measured: a relaxed structure of Co2TcRu at the GGA-PBE level of DFT.

Computed properties:
Offset from the most stable computed form: 59 meV per atom
E_form: 0.124 eV/atom
Spin magnetization: 0.127 μB per atom

Lattice parameters (Å, degrees): 5.181 7.354 2.591 90.00 90.15 90.00
Positions (direct):
Co 0.250 0.250 0.000
Co 0.250 0.750 0.000
Co 0.750 0.250 0.000
Co 0.750 0.750 0.000
Tc 0.000 0.000 0.500
Tc 0.500 0.500 0.500
Ru 0.000 0.500 0.500
Ru 0.500 0.000 0.500

---

# 8
Computed, not measured: a relaxed structure of Co2TcRu at the GGA-PBE level of DFT.

Computed properties:
Offset from the most stable computed form: 44 meV per atom
E_form: 0.109 eV/atom
Spin magnetization: 0.625 μB per atom

Lattice parameters (Å, degrees): 2.653 3.654 5.197 90.00 90.00 90.00
Positions (direct):
Co 0.000 0.000 0.000
Co 0.500 0.500 0.216
Tc 0.500 0.500 0.742
Ru 0.000 0.000 0.479

---

# 9
Computed, not measured: a relaxed structure of Co2TcRu at the GGA-PBE level of DFT.

Computed properties:
Offset from the most stable computed form: 85 meV per atom
E_form: 0.150 eV/atom
Spin magnetization: 0.710 μB per atom

Lattice parameters (Å, degrees): 2.650 2.650 25.346 90.00 90.00 120.00
Positions (direct):
Co 0.000 0.000 0.000
Co 0.000 0.000 0.257
Co 0.333 0.667 0.667
Co 0.333 0.667 0.924
Co 0.667 0.333 0.333
Co 0.667 0.333 0.590
Tc 0.000 0.000 0.505
Tc 0.333 0.667 0.171
Tc 0.667 0.333 0.838
Ru 0.000 0.000 0.752
Ru 0.333 0.667 0.419
Ru 0.667 0.333 0.085

---

# 10
Computed, not measured: a relaxed structure of Co2TcRu at the GGA-PBE level of DFT.

Computed properties:
Offset from the most stable computed form: 267 meV per atom
E_form: 0.332 eV/atom
Spin magnetization: 1.017 μB per atom

Lattice parameters (Å, degrees): 2.798 4.379 8.556 90.00 90.00 90.00
Positions (direct):
Co 0.000 0.000 0.000
Co 0.000 0.500 0.229
Co 0.500 0.000 0.229
Co 0.500 0.500 0.000
Tc 0.000 0.500 0.747
Tc 0.500 0.000 0.747
Ru 0.000 0.000 0.481
Ru 0.500 0.500 0.481

---

# 11
Computed, not measured: a relaxed structure of Co2TcRu at the GGA-PBE level of DFT.

Computed properties:
Offset from the most stable computed form: 0 meV per atom
E_form: 0.065 eV/atom
Spin magnetization: 0.000 μB per atom

Lattice parameters (Å, degrees): 3.986 2.593 9.505 90.00 90.00 90.00
Positions (direct):
Co 0.000 0.000 0.000
Co 0.000 0.500 0.500
Co 0.500 0.000 0.133
Co 0.500 0.500 0.633
Tc 0.500 0.000 0.397
Tc 0.500 0.500 0.897
Ru 0.000 0.000 0.732
Ru 0.000 0.500 0.232

---

# 12
Computed, not measured: a relaxed structure of Co2TcRu at the GGA-PBE level of DFT.

Computed properties:
Offset from the most stable computed form: 253 meV per atom
E_form: 0.318 eV/atom
Spin magnetization: 1.120 μB per atom

Lattice parameters (Å, degrees): 5.932 5.932 5.932 90.00 90.00 90.00
Positions (direct):
Co 0.000 0.000 0.000
Co 0.000 0.500 0.500
Co 0.250 0.250 0.250
Co 0.250 0.750 0.750
Co 0.500 0.000 0.500
Co 0.500 0.500 0.000
Co 0.750 0.250 0.750
Co 0.750 0.750 0.250
Tc 0.000 0.000 0.500
Tc 0.000 0.500 0.000
Tc 0.500 0.000 0.000
Tc 0.500 0.500 0.500
Ru 0.250 0.250 0.750
Ru 0.250 0.750 0.250
Ru 0.750 0.250 0.250
Ru 0.750 0.750 0.750

---

# 13
Computed, not measured: a relaxed structure of Co2TcRu at the GGA-PBE level of DFT.

Computed properties:
Offset from the most stable computed form: 130 meV per atom
E_form: 0.195 eV/atom
Spin magnetization: 0.573 μB per atom

Lattice parameters (Å, degrees): 2.633 2.633 25.332 90.00 90.00 120.00
Positions (direct):
Co 0.000 0.000 0.250
Co 0.000 0.000 0.750
Co 0.333 0.667 0.417
Co 0.333 0.667 0.917
Co 0.667 0.333 0.083
Co 0.667 0.333 0.583
Tc 0.000 0.000 0.000
Tc 0.333 0.667 0.667
Tc 0.667 0.333 0.333
Ru 0.000 0.000 0.500
Ru 0.333 0.667 0.167
Ru 0.667 0.333 0.833

---

# 14
Computed, not measured: a relaxed structure of CoTcTeRu2 at the GGA-PBE level of DFT.

Computed properties:
Energy relative to the elements, uncorrected: 8.46 eV/f.u.
Spin magnetization: 0.669 μB per atom

Lattice parameters (Å, degrees): 4.635 4.635 5.046 90.00 90.00 90.00
Positions (direct):
Co 0.000 0.000 0.000
Tc 0.500 0.500 0.500
Te 0.500 0.500 0.000
Ru 0.000 0.500 0.500
Ru 0.500 0.000 0.500

---

# 15
Computed, not measured: a relaxed structure of V5Co2TcRu2 at the GGA-PBE level of DFT.

Computed properties:
E_form: 0.033 eV/atom
Spin magnetization: 0.000 μB per atom

Lattice parameters (Å, degrees): 9.183 9.183 3.175 90.00 90.00 90.00
Positions (direct):
V 0.000 0.500 0.000
V 0.071 0.200 0.000
V 0.200 0.929 0.000
V 0.300 0.429 0.000
V 0.429 0.700 0.000
V 0.500 0.000 0.000
V 0.571 0.300 0.000
V 0.700 0.571 0.000
V 0.800 0.071 0.000
V 0.929 0.800 0.000
Co 0.128 0.372 0.500
Co 0.372 0.872 0.500
Co 0.628 0.128 0.500
Co 0.872 0.628 0.500
Tc 0.000 0.000 0.500
Tc 0.500 0.500 0.500
Ru 0.169 0.669 0.500
Ru 0.331 0.169 0.500
Ru 0.669 0.831 0.500
Ru 0.831 0.331 0.500

---

# 16
Computed, not measured: a relaxed structure of CoTcRuW at the GGA-PBE level of DFT.

Computed properties:
E_form: 0.174 eV/atom
Spin magnetization: 0.601 μB per atom

Lattice parameters (Å, degrees): 6.097 6.097 6.097 90.00 90.00 90.00
Positions (direct):
Co 0.000 0.000 0.000
Co 0.000 0.500 0.500
Co 0.500 0.000 0.500
Co 0.500 0.500 0.000
Tc 0.250 0.250 0.250
Tc 0.250 0.750 0.750
Tc 0.750 0.250 0.750
Tc 0.750 0.750 0.250
Ru 0.250 0.250 0.750
Ru 0.250 0.750 0.250
Ru 0.750 0.250 0.250
Ru 0.750 0.750 0.750
W 0.000 0.000 0.500
W 0.000 0.500 0.000
W 0.500 0.000 0.000
W 0.500 0.500 0.500

---

# 17
Computed, not measured: a relaxed structure of Y2CoTcRu at the GGA-PBE level of DFT.

Computed properties:
E_form: 0.574 eV/atom
Spin magnetization: 0.154 μB per atom

Lattice parameters (Å, degrees): 5.076 5.076 4.243 90.00 90.00 90.00
Positions (direct):
Y 0.000 0.500 0.000
Y 0.500 0.000 0.000
Co 0.000 0.000 0.000
Tc 0.000 0.000 0.500
Ru 0.500 0.500 0.500

---

# 18
Computed, not measured: a relaxed structure of Co2TeRu at the GGA-PBE level of DFT.

Computed properties:
Energy relative to the elements, uncorrected: 3.16 eV/f.u.
Spin magnetization: 0.000 μB per atom

Lattice parameters (Å, degrees): 4.873 4.873 12.801 90.00 90.00 90.00
Positions (direct):
Co 0.212 0.250 0.125
Co 0.250 0.712 0.375
Co 0.250 0.788 0.875
Co 0.288 0.250 0.625
Co 0.712 0.750 0.625
Co 0.750 0.212 0.875
Co 0.750 0.288 0.375
Co 0.788 0.750 0.125
Te 0.000 0.000 0.500
Te 0.000 0.500 0.750
Te 0.500 0.000 0.250
Te 0.500 0.500 0.000
Ru 0.000 0.000 0.000
Ru 0.000 0.500 0.250
Ru 0.500 0.000 0.750
Ru 0.500 0.500 0.500

---

# 19
Computed, not measured: a relaxed structure of Co2TeRu at the GGA-PBE level of DFT.

Computed properties:
Energy relative to the elements, uncorrected: 1.65 eV/f.u.
Spin magnetization: 0.342 μB per atom

Lattice parameters (Å, degrees): 2.931 3.606 5.404 90.00 90.00 90.00
Positions (direct):
Co 0.000 0.000 0.225
Co 0.000 0.000 0.775
Te 0.500 0.500 0.500
Ru 0.500 0.500 0.000

---

# 20
Computed, not measured: a relaxed structure of CoTe2Ru at the GGA-PBE level of DFT.

Computed properties:
Offset from the most stable computed form: 324 meV per atom
Energy relative to the elements, uncorrected: 1.47 eV/f.u.
Spin magnetization: 0.441 μB per atom

Lattice parameters (Å, degrees): 6.617 6.617 6.617 90.00 90.00 90.00
Positions (direct):
Co 0.000 0.000 0.000
Co 0.000 0.500 0.500
Co 0.500 0.000 0.500
Co 0.500 0.500 0.000
Te 0.250 0.250 0.250
Te 0.250 0.250 0.750
Te 0.250 0.750 0.250
Te 0.250 0.750 0.750
Te 0.750 0.250 0.250
Te 0.750 0.250 0.750
Te 0.750 0.750 0.250
Te 0.750 0.750 0.750
Ru 0.000 0.000 0.500
Ru 0.000 0.500 0.000
Ru 0.500 0.000 0.000
Ru 0.500 0.500 0.500